(1)
Compound: MgCuSi2
Source: Alexandria via LeMat-Bulk
Functional: PBE
Structure: relaxed

**N(E_F)**: 1.95 states/eV/f.u.
**Electronic total energy**: -3.9722 eV per atom

Cell lengths 8.658, 8.658, 8.658 Å; angles 152.10, 152.10, 39.87 degrees
Fractional positions:
Mg 0.000 0.000 0.000
Mg 0.750 0.250 0.500
Cu 0.250 0.750 0.500
Cu 0.500 0.500 0.000
Si 0.210 0.625 0.085
Si 0.375 0.460 0.585
Si 0.540 0.125 0.915
Si 0.875 0.790 0.415

(2)
Compound: Mg3CuSi
Source: Alexandria via LeMat-Bulk
Functional: PBE
Structure: relaxed

**Excess energy over the best structure of this formula in the dataset**: 0.000 eV/atom
**N(E_F)**: 2.37 states/eV/f.u.

Cell lengths 4.800, 4.800, 4.800 Å; angles 90.00, 90.00, 90.00 degrees
Fractional positions:
Mg 0.000 0.000 0.500
Mg 0.000 0.500 0.000
Mg 0.500 0.000 0.000
Cu 0.000 0.000 0.000
Si 0.500 0.500 0.500

(3)
Compound: Mg2CuSi
Source: Alexandria via LeMat-Bulk
Functional: PBE
Structure: relaxed

**N(E_F)**: 1.32 states/eV/f.u.
**Electronic total energy**: -3.2798 eV per atom

Cell lengths 5.265, 4.029, 7.025 Å; angles 90.00, 110.41, 90.00 degrees
Fractional positions:
Mg 0.180 0.250 0.428
Mg 0.205 0.250 0.914
Mg 0.795 0.750 0.086
Mg 0.820 0.750 0.572
Cu 0.387 0.750 0.713
Cu 0.613 0.250 0.287
Si 0.351 0.750 0.218
Si 0.649 0.250 0.782

(4)
Compound: MgCuSi2
Source: Alexandria via LeMat-Bulk
Functional: PBE
Structure: relaxed

**N(E_F)**: 0.57 states/eV/f.u.
**Electronic total energy**: -3.9638 eV per atom

Cell lengths 2.869, 2.869, 7.399 Å; angles 90.00, 90.00, 90.00 degrees
Fractional positions:
Mg 0.000 0.000 0.000
Cu 0.000 0.000 0.500
Si 0.500 0.500 0.281
Si 0.500 0.500 0.719

(5)
Compound: Mg2CuSi
Source: Alexandria via LeMat-Bulk
Functional: PBE
Structure: relaxed

**N(E_F)**: 1.59 states/eV/f.u.
**Electronic total energy**: -3.1938 eV per atom

Cell lengths 4.091, 4.091, 3.895 Å; angles 90.00, 90.00, 90.00 degrees
Fractional positions:
Mg 0.000 0.500 0.000
Mg 0.500 0.000 0.000
Cu 0.000 0.000 0.500
Si 0.500 0.500 0.500

(6)
Compound: MgCuSi2
Source: Alexandria via LeMat-Bulk
Functional: PBE
Structure: relaxed

**N(E_F)**: 2.43 states/eV/f.u.
**Electronic total energy**: -4.0623 eV per atom

Cell lengths 2.916, 4.115, 5.113 Å; angles 90.00, 90.00, 90.00 degrees
Fractional positions:
Mg 0.000 0.000 0.000
Cu 0.500 0.000 0.500
Si 0.500 0.500 0.249
Si 0.500 0.500 0.751

(7)
Compound: Mg3Cu3Si2
Source: Alexandria via LeMat-Bulk
Functional: PBE
Structure: relaxed

**N(E_F)**: 2.79 states/eV/f.u.
**Electronic total energy**: -3.6021 eV per atom

Cell lengths 6.927, 14.244, 5.270 Å; angles 90.00, 90.00, 90.00 degrees
Fractional positions:
Mg 0.022 0.113 0.129
Mg 0.022 0.387 0.129
Mg 0.180 0.250 0.593
Mg 0.320 0.750 0.093
Mg 0.478 0.613 0.629
Mg 0.478 0.887 0.629
Mg 0.522 0.113 0.371
Mg 0.522 0.387 0.371
Mg 0.680 0.250 0.907
Mg 0.820 0.750 0.407
Mg 0.978 0.613 0.871
Mg 0.978 0.887 0.871
Cu 0.175 0.030 0.583
Cu 0.175 0.470 0.583
Cu 0.188 0.750 0.596
Cu 0.312 0.250 0.096
Cu 0.325 0.530 0.083
Cu 0.325 0.970 0.083
Cu 0.675 0.030 0.917
Cu 0.675 0.470 0.917
Cu 0.688 0.750 0.904
Cu 0.812 0.250 0.404
Cu 0.825 0.530 0.417
Cu 0.825 0.970 0.417
Si 0.126 0.612 0.365
Si 0.126 0.888 0.365
Si 0.374 0.112 0.865
Si 0.374 0.388 0.865
Si 0.626 0.612 0.135
Si 0.626 0.888 0.135
Si 0.874 0.112 0.635
Si 0.874 0.388 0.635

(8)
Compound: MgCu14Si
Source: Alexandria via LeMat-Bulk
Functional: PBE
Structure: relaxed

**N(E_F)**: 6.41 states/eV/f.u.
**Electronic total energy**: -4.0252 eV per atom

Cell lengths 8.385, 5.108, 5.108 Å; angles 64.37, 90.00, 90.00 degrees
Fractional positions:
Mg 0.000 0.000 0.000
Cu 0.000 0.504 0.988
Cu 0.000 0.988 0.504
Cu 0.246 0.310 0.310
Cu 0.254 0.319 0.805
Cu 0.254 0.805 0.319
Cu 0.258 0.813 0.813
Cu 0.500 0.130 0.130
Cu 0.500 0.137 0.624
Cu 0.500 0.624 0.137
Cu 0.500 0.632 0.632
Cu 0.742 0.813 0.813
Cu 0.746 0.319 0.805
Cu 0.746 0.805 0.319
Cu 0.754 0.310 0.310
Si 0.000 0.497 0.497

- Among the records above, which one has the lowest N(E_F)?
  number 4